SrCoW2S: relaxed, GGA-PBE.

Geometry as POSCAR:
```
SrCoW2S
1.0
4.963 0.000 0.000
0.000 4.963 0.000
0.000 0.000 4.372
Sr Co W S
1 1 2 1
direct
0.000 0.000 0.000
0.000 0.000 0.500
0.000 0.500 0.000
0.500 0.000 0.000
0.500 0.500 0.500
```

ΔE_f (raw): 17.7 eV/f.u.
density of states at the Fermi level: 9.6 states/eV/f.u.
M_tot: 0.0 μB/f.u.
VASP energy: -4.2309 eV/atom

***

LaZnPb3: relaxed, GGA-PBE.

Geometry as POSCAR:
```
LaZnPb3
1.0
6.197 0.000 0.000
0.000 6.197 0.000
0.000 0.000 6.197
La Zn Pb
1 1 3
direct
0.000 0.000 0.000
0.500 0.500 0.500
0.000 0.000 0.500
0.000 0.500 0.000
0.500 0.000 0.000
```

excess energy over the best structure of this formula in the dataset: 688.6 meV/atom
density of states at the Fermi level: 5.3 states/eV/f.u.
M_tot: 0.0 μB/f.u.
VASP energy: -2.7680 eV/atom

***

LaMg2Tl: relaxed, GGA-PBE.

Geometry as POSCAR:
```
LaMg2Tl
1.0
4.710 0.000 0.000
0.000 4.710 0.000
0.000 0.000 5.023
La Mg Tl
1 2 1
direct
0.000 0.000 0.000
0.000 0.500 0.500
0.500 0.000 0.500
0.500 0.500 0.000
```

excess energy over the best structure of this formula in the dataset: 10.4 meV/atom
density of states at the Fermi level: 2.6 states/eV/f.u.
M_tot: 0.0 μB/f.u.
VASP energy: -2.8357 eV/atom

***

Dy2Ta2Ge2C: relaxed, GGA-PBE.

Geometry as POSCAR:
```
Dy2Ta2Ge2C
1.0
-2.124 2.124 7.550
2.124 -2.124 7.550
2.124 2.124 -7.550
Dy Ta Ge C
2 2 2 1
direct
0.167 0.167 0.000
0.833 0.833 0.000
0.000 0.500 0.500
0.500 0.000 0.500
0.372 0.372 0.000
0.628 0.628 0.000
0.000 0.000 0.000
```

density of states at the Fermi level: 4.4 states/eV/f.u.
M_tot: 0.0 μB/f.u.
VASP energy: -7.9603 eV/atom